## CsAlMo2O8 (GGA+U)

Data for CsAlMo2O8 after structural relaxation.

Lattice parameters (Å, degrees): 5.6475 5.6475 8.3572 90.00 90.00 120.00
Atoms (fractional coordinates):
Cs 0.0000 0.0000 0.0000
Al 0.0000 0.0000 0.5000
Mo 0.3333 0.6667 0.6998
Mo 0.6667 0.3333 0.3002
O 0.3333 0.6667 0.9098
O 0.6667 0.3333 0.0902
O 0.1575 0.3149 0.6342
O 0.6851 0.8425 0.6342
O 0.1575 0.8425 0.6342
O 0.8425 0.6851 0.3658
O 0.8425 0.1575 0.3658
O 0.3149 0.1575 0.3658

## Properties
E, eV/atom: -6.887
Mass density, g cm⁻³: 3.45
V, Å³ per cell: 230.8
SG: P-3m1
ΔE to the lowest computed polymorph, meV per atom: 0.0
Total moment, Bohr magnetons per cell: 0.00